# 1
A plane-wave DFT calculation with PBE was carried out for TmTcP2Ru after structural relaxation.

Results
Total magnetic moment, μB per cell: 0.00
Formation energy, eV/atom: -0.979

CIF file:
```
data_TmTcP2Ru
_space_group_name_H-M_alt 'I -4 m 2'
_space_group_IT_number 119
_space_group_name_Hall 'I -4 -2'
_cell_length_a 4.111
_cell_length_b 4.111
_cell_length_c 9.356
_cell_angle_alpha 90.00
_cell_angle_beta 90.00
_cell_angle_gamma 90.00
loop_
_atom_site_label
_atom_site_fract_x
_atom_site_fract_y
_atom_site_fract_z
Tm1 0.000 0.000 0.000
Tc1 0.000 0.500 0.250
P1 0.000 0.000 0.372
Ru1 0.000 0.500 0.750
```

=====

# 2
A plane-wave DFT calculation with PBE was carried out for Ti2Zn2Ni after structural relaxation.

Results
Energy above the lowest structure with this stoichiometry, meV per atom: 0
Total magnetic moment, μB per cell: 0.71
Formation energy, eV/atom: -0.153

CIF file:
```
data_Ti2Zn2Ni
_space_group_name_H-M_alt 'C m m m'
_space_group_IT_number 65
_space_group_name_Hall '-C 2 2'
_cell_length_a 2.673
_cell_length_b 20.308
_cell_length_c 2.762
_cell_angle_alpha 90.00
_cell_angle_beta 90.00
_cell_angle_gamma 90.00
loop_
_atom_site_label
_atom_site_fract_x
_atom_site_fract_y
_atom_site_fract_z
Ti1 0.000 0.088 0.000
Zn1 0.000 0.307 0.500
Ni1 0.000 0.500 0.500
```

=====

# 3
A plane-wave DFT calculation with PBE was carried out for Mg5TlZn4 after structural relaxation.

Results
Total magnetic moment, μB per cell: 0.00
Formation energy, eV/atom: -0.059

CIF file:
```
data_Mg5TlZn4
_space_group_name_H-M_alt 'P 4/m m m'
_space_group_IT_number 123
_space_group_name_Hall '-P 4 2'
_cell_length_a 3.435
_cell_length_b 3.435
_cell_length_c 16.451
_cell_angle_alpha 90.00
_cell_angle_beta 90.00
_cell_angle_gamma 90.00
loop_
_atom_site_label
_atom_site_fract_x
_atom_site_fract_y
_atom_site_fract_z
Mg1 0.000 0.000 0.000
Mg2 0.000 0.000 0.187
Mg3 0.000 0.000 0.377
Tl1 0.500 0.500 0.500
Zn1 0.500 0.500 0.094
Zn2 0.500 0.500 0.280
```